1.
## Mg2MoSe (GGA-PBE)

Data for a relaxed Mg2MoSe crystal.

Cell and atoms, written as POSCAR:
```
Mg2MoSe
1.0
4.4357 0.0000 0.0000
0.0000 4.4357 0.0000
0.0000 0.0000 3.7778
Se Mg Mo
1 2 1
direct
0.0000 0.5000 0.5000 Se
0.5000 0.5000 0.0000 Mg
0.0000 0.0000 0.0000 Mg
0.5000 0.0000 0.5000 Mo
```

Properties
- Raw formation energy: 195.3 meV per atom
- Crystal system: tetragonal
- Magnetic moment: 2.210 μB/cell

2.
## Mg2MoSe (GGA-PBE)

Data for a relaxed Mg2MoSe crystal.

Cell and atoms, written as POSCAR:
```
Mg2MoSe
1.0
-0.4040 -2.7673 1.5972
2.7755 -1.1015 -1.2064
3.6970 2.8614 5.8928
Mg Se Mo
2 1 1
direct
0.0000 0.0000 0.9776 Mg
0.5000 0.5000 0.2826 Mg
0.5000 0.5000 0.6992 Se
0.0000 0.0000 0.5406 Mo
```

Properties
- Raw formation energy: -71.1 meV per atom
- Crystal system: tetragonal
- Magnetic moment: 0.000 μB/cell

3.
## MgMo6Se8 (GGA-PBE)

Data for a relaxed MgMo6Se8 crystal.

Cell and atoms, written as POSCAR:
```
MgMo6Se8
1.0
6.8272 -0.0292 -0.0733
-0.6258 6.7975 0.0490
-0.5791 -0.1322 6.8566
Se Mg Mo
8 1 6
direct
0.3767 0.1133 0.7337 Se
0.2774 0.6110 0.8614 Se
0.6284 0.8836 0.2621 Se
0.2016 0.2162 0.2191 Se
0.8079 0.7735 0.7808 Se
0.7233 0.3948 0.1376 Se
0.8714 0.2634 0.6354 Se
0.1325 0.7312 0.3650 Se
0.8652 0.0861 0.0037 Mg
0.4088 0.5533 0.2351 Mo
0.2335 0.4100 0.5446 Mo
0.5406 0.2364 0.4222 Mo
0.7680 0.5908 0.4555 Mo
0.4613 0.7637 0.5806 Mo
0.5874 0.4479 0.7640 Mo
```

Properties
- Raw formation energy: -593.6 meV per atom
- Crystal system: triclinic
- Magnetic moment: 0.000 μB/cell